# 1
First-principles (GGA-PBE) data for crystalline NaPb2 at its relaxed geometry, as listed in Alexandria via LeMat-Bulk.

* energy above the lowest structure with this stoichiometry: 37.6 meV per atom
* formation energy: -7.7 kJ/mol of atoms
* space-group type: Immm
* DOS(E_F): 1.8 states/eV/cell
* V: 32.18 Å³ per atom

Lattice parameters (Å, degrees): 7.3469 7.3469 7.3469 143.01 124.72 68.38
Closest atoms and distances in Å follow each position.
Positions (direct):
Na 0.1719 0.1719 0.0000  8 Pb 3.31-3.56
Na 0.8281 0.8281 0.0000  8 Pb 3.31-3.56
Pb 0.2499 0.5000 0.7499  6 Pb 3.32-3.41, 4 Na 3.56
Pb 0.3653 0.8653 0.5000  5 Pb 3.28-3.32, 4 Na 3.31-3.44
Pb 0.6347 0.1347 0.5000  5 Pb 3.28-3.32, 4 Na 3.31-3.44
Pb 0.7501 0.5000 0.2501  6 Pb 3.32-3.41, 4 Na 3.56

***

# 2
First-principles (GGA-PBE) data for crystalline LiCeHg3 at its relaxed geometry, as listed in Alexandria via LeMat-Bulk.

* energy above the lowest structure with this stoichiometry: 0.0 meV per atom
* formation energy: -21.3 kJ/mol of atoms
* space-group type: C2/m
* DOS(E_F): 19.5 states/eV/cell
* V: 24.19 Å³ per atom

Lattice parameters (Å, degrees): 12.1392 12.1392 4.7931 101.26 101.26 20.46
Closest atoms and distances in Å follow each position.
Positions (direct):
Li 0.1430 0.1430 0.3931  5 Hg 2.53-2.69
Li 0.8570 0.8570 0.6069  5 Hg 2.53-2.69
Ce 0.4159 0.4159 0.1663  10 Hg 3.39-3.66, 4 Li 3.50-3.51
Ce 0.5841 0.5841 0.8337  10 Hg 3.39-3.66, 4 Li 3.50-3.51
Hg 0.0350 0.0350 0.2844  1 Li 2.53
Hg 0.1956 0.1956 0.9450  2 Li 2.69
Hg 0.2980 0.2980 0.5498  2 Li 2.56
Hg 0.7020 0.7020 0.4502  2 Li 2.56
Hg 0.8044 0.8044 0.0550  2 Li 2.69
Hg 0.9650 0.9650 0.7156  1 Li 2.53

***

# 3
First-principles (GGA-PBE) data for crystalline MgPH at its relaxed geometry, as listed in Alexandria via LeMat-Bulk.

* energy above the lowest structure with this stoichiometry: 86.0 meV per atom
* space-group type: Pnma
* DOS(E_F): 0.0 states/eV/cell
* V: 14.45 Å³ per atom

Lattice parameters (Å, degrees): 6.2304 6.7917 4.0969 90.00 90.00 90.00
Closest atoms and distances in Å follow each position.
Positions (direct):
Mg 0.0000 0.0000 0.0000  2 H 2.32
Mg 0.0000 0.5000 0.0000  2 H 2.32
Mg 0.5000 0.0000 0.5000  2 H 2.32
Mg 0.5000 0.5000 0.5000  2 H 2.32
P 0.1698 0.2500 0.4160  1 H 1.46
P 0.3302 0.7500 0.9160  1 H 1.46
P 0.6698 0.2500 0.0840  1 H 1.46
P 0.8302 0.7500 0.5840  1 H 1.46
H 0.0232 0.7500 0.3826  1 P 1.46
H 0.4768 0.2500 0.8826  1 P 1.46
H 0.5232 0.7500 0.1174  1 P 1.46
H 0.9768 0.2500 0.6174  1 P 1.46

***

# 4
First-principles (GGA-PBE) data for crystalline FeSi2Ir at its relaxed geometry, as listed in Alexandria via LeMat-Bulk.

* uncorrected formation energy: -0.4052 eV/atom
* space-group type: P4/mmm
* DOS(E_F): 1.5 states/eV/cell
* V: 12.07 Å³ per atom

Lattice parameters (Å, degrees): 2.8763 2.8763 5.8359 90.00 90.00 90.00
Closest atoms and distances in Å follow each position.
Positions (direct):
Fe 0.0000 0.0000 0.0000  8 Si 2.41
Si 0.5000 0.5000 0.2218  4 Fe 2.41, 1 Si 2.59, 4 Ir 2.60
Si 0.5000 0.5000 0.7782  4 Fe 2.41, 1 Si 2.59, 4 Ir 2.60
Ir 0.0000 0.0000 0.5000  8 Si 2.60, 4 Ir 2.88

***

# 5
First-principles (GGA-PBE) data for crystalline SiHgTe2I at its relaxed geometry, as listed in Alexandria via LeMat-Bulk.

* uncorrected formation energy: 0.8750 eV/atom
* energy above the lowest structure with this stoichiometry: 565.1 meV per atom
* space-group type: P4/mmm
* DOS(E_F): 4.4 states/eV/cell
* V: 36.42 Å³ per atom

Lattice parameters (Å, degrees): 5.6191 5.6191 5.7676 90.00 90.00 90.00
Closest atoms and distances in Å follow each position.
Positions (direct):
Si 0.0000 0.0000 0.0000  4 I 3.97, 8 Te 4.03
Hg 0.5000 0.5000 0.5000  4 Te 2.81, 2 I 2.88
Te 0.0000 0.5000 0.5000  2 Hg 2.81
Te 0.5000 0.0000 0.5000  2 Hg 2.81
I 0.5000 0.5000 0.0000  2 Hg 2.88

***

# 6
First-principles (GGA-PBE) data for crystalline ZrCrIn at its relaxed geometry, as listed in Alexandria via LeMat-Bulk.

* energy above the lowest structure with this stoichiometry: 72.0 meV per atom
* formation energy: 14.5 kJ/mol of atoms
* space-group type: P3m1
* DOS(E_F): 2.3 states/eV/cell
* V: 20.35 Å³ per atom

Lattice parameters (Å, degrees): 4.6964 4.6964 3.1965 90.00 90.00 120.00
Closest atoms and distances in Å follow each position.
Positions (direct):
Zr 0.0000 0.0000 0.0000  6 Cr 3.15, 6 In 3.15, 2 Zr 3.20
Cr 0.6667 0.3333 0.4986  3 In 2.71
In 0.3333 0.6667 0.5012  3 Cr 2.71

***

# 7
First-principles (GGA-PBE) data for crystalline LaAl3Cu at its relaxed geometry, as listed in Alexandria via LeMat-Bulk.

* energy above the lowest structure with this stoichiometry: 2028.1 meV per atom
* formation energy: 149.1 kJ/mol of atoms
* space-group type: Pm-3m
* DOS(E_F): 5.9 states/eV/cell
* V: 36.83 Å³ per atom

Lattice parameters (Å, degrees): 5.6894 5.6894 5.6894 90.00 90.00 90.00
Closest atoms and distances in Å follow each position.
Positions (direct):
La 0.0000 0.0000 0.0000  6 Al 2.84
Al 0.0000 0.0000 0.5000  2 La 2.84
Al 0.0000 0.5000 0.0000  2 La 2.84
Al 0.5000 0.0000 0.0000  2 La 2.84
Cu 0.5000 0.5000 0.5000  12 Al 4.02

***

# 8
First-principles (GGA-PBE) data for crystalline Mn4AlTl at its relaxed geometry, as listed in Alexandria via LeMat-Bulk.

* formation energy: 36.5 kJ/mol of atoms
* space-group type: F-43m
* DOS(E_F): 7.1 states/eV/cell
* V: 13.79 Å³ per atom

Lattice parameters (Å, degrees): 4.8907 4.8907 4.8907 60.00 60.00 60.00
Closest atoms and distances in Å follow each position.
Positions (direct):
Mn 0.1240 0.1240 0.1240  6 Mn 2.43-2.46
Mn 0.1240 0.1240 0.6279  6 Mn 2.43-2.46
Mn 0.1240 0.6279 0.1240  6 Mn 2.43-2.46
Mn 0.6279 0.1240 0.1240  6 Mn 2.43-2.46
Al 0.7500 0.7500 0.7500  12 Mn 2.87, 4 Tl 2.99
Tl 0.5000 0.5000 0.5000  12 Mn 2.87, 4 Al 2.99

***

# 9
First-principles (GGA-PBE) data for crystalline La3Nd2Hg2 at its relaxed geometry, as listed in Alexandria via LeMat-Bulk.

* energy above the lowest structure with this stoichiometry: 33.8 meV per atom
* formation energy: -19.9 kJ/mol of atoms
* space-group type: Cmmm
* DOS(E_F): 9.9 states/eV/cell
* V: 32.82 Å³ per atom

Lattice parameters (Å, degrees): 16.0229 16.0229 3.7773 90.00 90.00 166.30
Closest atoms and distances in Å follow each position.
Positions (direct):
La 0.0000 0.0000 0.0000  12 La 3.70-3.82
La 0.4200 0.5800 0.5000  4 Hg 3.36, 4 La 3.70
La 0.5800 0.4200 0.5000  4 Hg 3.36, 4 La 3.70
Nd 0.2979 0.7021 0.5000  4 Hg 3.27, 2 Nd 3.60
Nd 0.7021 0.2979 0.5000  4 Hg 3.27, 2 Nd 3.60
Hg 0.1433 0.8567 0.0000  4 Nd 3.27, 4 La 3.36
Hg 0.8567 0.1433 0.0000  4 Nd 3.27, 4 La 3.36

***

# 10
First-principles (GGA-PBE) data for crystalline Tb10Nd4Tm at its relaxed geometry, as listed in Alexandria via LeMat-Bulk.

* formation energy: 24.8 kJ/mol of atoms
* space-group type: I4/mmm
* DOS(E_F): 22.4 states/eV/cell
* V: 34.05 Å³ per atom

Lattice parameters (Å, degrees): 8.9497 8.9497 8.9497 101.33 101.33 127.37
Closest atoms and distances in Å follow each position.
Positions (direct):
Tb 0.9996 0.2083 0.7912  4 Tb 3.31-3.35, 1 Tm 3.31, 4 Nd 3.48-3.57
Tb 0.0004 0.7917 0.2088  4 Tb 3.31-3.35, 1 Tm 3.31, 4 Nd 3.48-3.57
Tb 0.2083 0.9996 0.7912  4 Tb 3.31-3.35, 1 Tm 3.31, 4 Nd 3.48-3.57
Tb 0.2083 0.4171 0.2088  4 Tb 3.31-3.35, 1 Tm 3.31, 4 Nd 3.48-3.57
Tb 0.2500 0.7500 0.5000  4 Tb 3.32
Tb 0.4171 0.2083 0.2088  4 Tb 3.31-3.35, 1 Tm 3.31, 4 Nd 3.48-3.57
Tb 0.5829 0.7917 0.7912  4 Tb 3.31-3.35, 1 Tm 3.31, 4 Nd 3.48-3.57
Tb 0.7500 0.2500 0.5000  4 Tb 3.32
Tb 0.7917 0.0004 0.2088  4 Tb 3.31-3.35, 1 Tm 3.31, 4 Nd 3.48-3.57
Tb 0.7917 0.5829 0.7912  4 Tb 3.31-3.35, 1 Tm 3.31, 4 Nd 3.48-3.57
Nd 0.2716 0.2716 0.5431  8 Tb 3.48-3.57, 1 Tm 3.67
Nd 0.2716 0.7284 0.0000  8 Tb 3.48-3.57, 1 Tm 3.67
Nd 0.7284 0.2716 0.0000  8 Tb 3.48-3.57, 1 Tm 3.67
Nd 0.7284 0.7284 0.4569  8 Tb 3.48-3.57, 1 Tm 3.67
Tm 0.5000 0.5000 0.0000  8 Tb 3.31, 4 Nd 3.67

***

# 11
First-principles (GGA-PBE) data for crystalline CdAgSb2 at its relaxed geometry, as listed in Alexandria via LeMat-Bulk.

* uncorrected formation energy: 0.1687 eV/atom
* energy above the lowest structure with this stoichiometry: 90.2 meV per atom
* space-group type: C2/m
* DOS(E_F): 1.5 states/eV/cell
* V: 24.46 Å³ per atom

Lattice parameters (Å, degrees): 5.5524 5.5524 3.3389 95.71 95.71 105.52
Closest atoms and distances in Å follow each position.
Positions (direct):
Cd 0.0000 0.0000 0.0000  8 Sb 3.09-3.38, 2 Cd 3.34, 2 Ag 3.36
Ag 0.5000 0.5000 0.0000  8 Sb 3.09-3.38, 2 Ag 3.34, 2 Cd 3.36
Sb 0.0000 0.5000 0.5000  4 Cd 3.09-3.38, 4 Ag 3.09-3.38, 4 Sb 3.34-3.36
Sb 0.5000 0.0000 0.5000  4 Cd 3.09-3.38, 4 Ag 3.09-3.38, 4 Sb 3.34-3.36

***

# 12
First-principles (GGA-PBE) data for crystalline Ac6CdSn2 at its relaxed geometry, as listed in Alexandria via LeMat-Bulk.

* formation energy: -23.3 kJ/mol of atoms
* space-group type: Immm
* DOS(E_F): 14.1 states/eV/cell
* V: 41.86 Å³ per atom

Lattice parameters (Å, degrees): 9.7201 9.7201 9.7201 146.33 131.69 60.18
Closest atoms and distances in Å follow each position.
Positions (direct):
Ac 0.0843 0.3352 0.7491  1 Cd 3.41, 3 Sn 3.45
Ac 0.2455 0.0000 0.2455  2 Cd 3.43, 2 Sn 3.47
Ac 0.4139 0.6648 0.7491  1 Cd 3.41, 3 Sn 3.45
Ac 0.5861 0.3352 0.2509  1 Cd 3.41, 3 Sn 3.45
Ac 0.7545 0.0000 0.7545  2 Cd 3.43, 2 Sn 3.47
Ac 0.9157 0.6648 0.2509  1 Cd 3.41, 3 Sn 3.45
Cd 0.0000 0.5000 0.5000  8 Ac 3.41-3.43
Sn 0.3327 0.8327 0.5000  8 Ac 3.45-3.47
Sn 0.6673 0.1673 0.5000  8 Ac 3.45-3.47

***

- Which value of V does entry 4 give?
  12.07 Å³ per atom